(1)
KSr2Mn: optimized geometry, GGA-PBEsol.

Computed properties:
As for the distance to the lowest polymorph of the same formula: 0.0000 eV per atom. As for the space-group type: No. 166. The calculation puts the formation energy at 0.544 eV/atom. For the uncorrected energy, the calculation gives -3.100 eV/atom.

Unit cell a=4.194 b=4.194 c=35.055 alpha=90.00 beta=90.00 gamma=120.00
Atoms (fractional coordinates):
K 0.000 0.000 0.000
K 0.333 0.667 0.667
K 0.667 0.333 0.333
Sr 0.000 0.000 0.224
Sr 0.000 0.000 0.776
Sr 0.333 0.667 0.442
Sr 0.333 0.667 0.891
Sr 0.667 0.333 0.109
Sr 0.667 0.333 0.558
Mn 0.000 0.000 0.500
Mn 0.333 0.667 0.167
Mn 0.667 0.333 0.833

(2)
MgReGePb2: optimized geometry, GGA-PBEsol.

Computed properties:
As for the space-group type: No. 123. The calculation puts the formation energy at 1.073 eV/atom. For the uncorrected energy, the calculation gives -4.525 eV/atom.

Unit cell a=5.439 b=5.439 c=4.680 alpha=90.00 beta=90.00 gamma=90.00
Atoms (fractional coordinates):
Mg 0.000 0.000 0.000
Re 0.500 0.500 0.000
Ge 0.500 0.500 0.500
Pb 0.000 0.500 0.500
Pb 0.500 0.000 0.500